(1)
VASP calculation (PBE) on a relaxed structure of TaNiPt2W.

Cell: 4.7793 4.7793 4.3870 Å, 90.00 90.00 90.00°
With the nearest neighbours (Å) after each atom.
Fractional positions:
Ta 0.0000 0.0000 0.0000  2 Ni 2.19, 4 Pt 2.39
Ni 0.0000 0.0000 0.5000  2 Ta 2.19
Pt 0.0000 0.5000 0.0000  2 Ta 2.39
Pt 0.5000 0.0000 0.0000  2 Ta 2.39
W 0.5000 0.5000 0.5000  8 Pt 3.24, 4 Ni 3.38

## Properties
total energy: -6.931 eV/atom
theoretical density: 13.5 g/cm³
formation energy: 1603 meV per atom

(2)
VASP calculation (PBE) on a relaxed structure of TbNi2Pt4.

Cell: 5.3622 5.3622 5.3622 Å, 122.89 103.46 102.96°
With the nearest neighbours (Å) after each atom.
Fractional positions:
Tb 0.0000 0.0000 0.0000  4 Pt 2.81
Ni 0.5000 0.2495 0.7495  2 Ni 2.56-2.57, 8 Pt 2.72
Ni 0.5000 0.7505 0.2505  2 Ni 2.56-2.57, 8 Pt 2.72
Pt 0.0007 0.2988 0.7019  4 Pt 2.68-2.72, 4 Ni 2.72, 1 Tb 2.81
Pt 0.4030 0.7012 0.7019  4 Pt 2.68-2.72, 4 Ni 2.72, 1 Tb 2.81
Pt 0.5970 0.2988 0.2981  4 Pt 2.68-2.72, 4 Ni 2.72, 1 Tb 2.81
Pt 0.9993 0.7012 0.2981  4 Pt 2.68-2.72, 4 Ni 2.72, 1 Tb 2.81

## Properties
total energy: -6.241 eV/atom
theoretical density: 15.4 g/cm³
formation energy: -476 meV per atom

(3)
VASP calculation (PBE) on a relaxed structure of TbNi2Pt6.

Cell: 7.8971 7.8971 7.8971 Å, 60.00 60.00 60.00°
With the nearest neighbours (Å) after each atom.
Fractional positions:
Tb 0.1250 0.1250 0.1250  6 Pt 2.78
Tb 0.8750 0.8750 0.8750  6 Pt 2.78
Ni 0.0000 0.5000 0.5000  6 Pt 2.43
Ni 0.5000 0.0000 0.5000  6 Pt 2.43
Ni 0.5000 0.5000 0.0000  6 Pt 2.43
Ni 0.5000 0.5000 0.5000  6 Pt 2.43
Pt 0.1236 0.1236 0.6264  2 Ni 2.43
Pt 0.1236 0.6264 0.1236  2 Ni 2.43
Pt 0.1236 0.6264 0.6264  2 Ni 2.43
Pt 0.3736 0.3736 0.8764  2 Ni 2.43
Pt 0.3736 0.8764 0.3736  2 Ni 2.43
Pt 0.3736 0.8764 0.8764  2 Ni 2.43
Pt 0.6264 0.1236 0.1236  2 Ni 2.43
Pt 0.6264 0.1236 0.6264  2 Ni 2.43
Pt 0.6264 0.6264 0.1236  2 Ni 2.43
Pt 0.8764 0.3736 0.3736  2 Ni 2.43
Pt 0.8764 0.3736 0.8764  2 Ni 2.43
Pt 0.8764 0.8764 0.3736  2 Ni 2.43

## Properties
total energy: -5.809 eV/atom
theoretical density: 13.8 g/cm³
formation energy: 17 meV per atom

(4)
VASP calculation (PBE) on a relaxed structure of TbNi8Pt3.

Cell: 4.8267 4.8267 7.8201 Å, 90.00 90.00 120.00°
With the nearest neighbours (Å) after each atom.
Fractional positions:
Tb 0.0000 0.0000 0.0000  12 Ni 2.84-2.88, 4 Pt 2.97-2.98
Ni 0.1654 0.3307 0.6768  6 Ni 2.38-2.43
Ni 0.1654 0.8346 0.6768  6 Ni 2.38-2.43
Ni 0.3333 0.6667 0.4307  6 Ni 2.34-2.38
Ni 0.3333 0.6667 0.9301  6 Ni 2.43-2.50
Ni 0.5028 0.0057 0.1930  6 Ni 2.34-2.50
Ni 0.5028 0.4972 0.1930  6 Ni 2.34-2.50
Ni 0.6693 0.8346 0.6768  6 Ni 2.38-2.43
Ni 0.9943 0.4972 0.1930  6 Ni 2.34-2.50
Pt 0.0000 0.0000 0.3802  12 Ni 2.70-2.82, 3 Pt 2.94, 1 Tb 2.97
Pt 0.6667 0.3333 0.4988  12 Ni 2.76-2.84, 4 Pt 2.87-2.94
Pt 0.6667 0.3333 0.8664  12 Ni 2.83-2.90, 1 Pt 2.87, 3 Tb 2.98

## Properties
total energy: -5.957 eV/atom
theoretical density: 12.8 g/cm³
formation energy: -207 meV per atom

(5)
VASP calculation (PBE) on a relaxed structure of Tb2Ni2Pt15.

Cell: 6.9444 6.9444 6.9444 Å, 82.81 82.81 82.81°
With the nearest neighbours (Å) after each atom.
Fractional positions:
Tb 0.1660 0.1660 0.1660  18 Pt 3.18-3.55, 1 Ni 3.21
Tb 0.8340 0.8340 0.8340  18 Pt 3.18-3.55, 1 Ni 3.21
Ni 0.4044 0.4044 0.4044  1 Ni 2.57, 6 Pt 2.82-2.88
Ni 0.5956 0.5956 0.5956  1 Ni 2.57, 6 Pt 2.82-2.88
Pt 0.0000 0.5000 0.5000  8 Pt 2.66, 2 Ni 2.82
Pt 0.1557 0.1557 0.6571  8 Pt 2.66-2.78, 1 Ni 2.88
Pt 0.1557 0.6571 0.1557  8 Pt 2.66-2.78, 1 Ni 2.88
Pt 0.1901 0.5000 0.8099  8 Pt 2.66-2.85
Pt 0.1901 0.8099 0.5000  8 Pt 2.66-2.85
Pt 0.3429 0.8443 0.8443  8 Pt 2.66-2.78, 1 Ni 2.88
Pt 0.5000 0.0000 0.5000  8 Pt 2.66, 2 Ni 2.82
Pt 0.5000 0.1901 0.8099  8 Pt 2.66-2.85
Pt 0.5000 0.5000 0.0000  8 Pt 2.66, 2 Ni 2.82
Pt 0.5000 0.8099 0.1901  8 Pt 2.66-2.85
Pt 0.6571 0.1557 0.1557  8 Pt 2.66-2.78, 1 Ni 2.88
Pt 0.8099 0.1901 0.5000  8 Pt 2.66-2.85
Pt 0.8099 0.5000 0.1901  8 Pt 2.66-2.85
Pt 0.8443 0.3429 0.8443  8 Pt 2.66-2.78, 1 Ni 2.88
Pt 0.8443 0.8443 0.3429  8 Pt 2.66-2.78, 1 Ni 2.88

## Properties
total energy: -6.235 eV/atom
theoretical density: 17.0 g/cm³
formation energy: -370 meV per atom

(6)
VASP calculation (PBE) on a relaxed structure of Tb4Ni3Pt.

Cell: 3.7437 4.3365 10.2708 Å, 90.00 90.00 90.00°
With the nearest neighbours (Å) after each atom.
Fractional positions:
Tb 0.0000 0.0000 0.0000  6 Ni 2.82-2.94, 1 Pt 2.95
Tb 0.0000 0.5000 0.2718  7 Ni 2.84-2.94
Tb 0.5000 0.0000 0.4899  5 Ni 2.92-2.93, 2 Pt 2.96
Tb 0.5000 0.5000 0.7752  4 Pt 2.94, 3 Ni 2.97
Ni 0.0000 0.5000 0.5507  2 Pt 2.73, 7 Tb 2.86-2.97
Ni 0.5000 0.0000 0.2060  2 Ni 2.61, 3 Tb 2.82-2.92
Ni 0.5000 0.5000 0.0642  2 Ni 2.61, 2 Tb 2.84
Pt 0.0000 0.0000 0.7130  2 Ni 2.73, 7 Tb 2.94-2.96

## Properties
total energy: -5.886 eV/atom
theoretical density: 10.0 g/cm³
formation energy: -647 meV per atom

(7)
VASP calculation (PBE) on a relaxed structure of TbNiPt6.

Cell: 3.8558 3.8558 9.7384 Å, 90.00 90.00 90.00°
With the nearest neighbours (Å) after each atom.
Fractional positions:
Tb 0.0000 0.0000 0.0000  8 Pt 3.01
Ni 0.0000 0.0000 0.5000  8 Pt 2.54
Pt 0.0000 0.5000 0.3307  2 Ni 2.54, 6 Pt 2.73-2.74
Pt 0.0000 0.5000 0.6693  2 Ni 2.54, 6 Pt 2.73-2.74
Pt 0.5000 0.0000 0.3307  2 Ni 2.54, 6 Pt 2.73-2.74
Pt 0.5000 0.0000 0.6693  2 Ni 2.54, 6 Pt 2.73-2.74
Pt 0.5000 0.5000 0.1303  5 Pt 2.54-2.74
Pt 0.5000 0.5000 0.8697  5 Pt 2.54-2.74

## Properties
total energy: -6.125 eV/atom
theoretical density: 15.9 g/cm³
formation energy: -293 meV per atom

(8)
VASP calculation (PBE) on a relaxed structure of TbNiPt3.

Cell: 6.4036 6.4036 6.4036 Å, 130.75 107.96 92.23°
With the nearest neighbours (Å) after each atom.
Fractional positions:
Tb 0.2520 0.0020 0.2500  7 Pt 2.86-3.09
Tb 0.7480 0.9980 0.7500  7 Pt 2.86-3.09
Ni 0.0000 0.5000 0.5000  6 Pt 2.45-2.63
Ni 0.5000 0.5000 0.0000  6 Pt 2.45-2.63
Pt 0.1919 0.0000 0.6919  2 Ni 2.63, 5 Pt 2.67-2.89
Pt 0.1919 0.5000 0.1919  2 Ni 2.63, 5 Pt 2.67-2.89
Pt 0.4264 0.6764 0.7500  2 Ni 2.45
Pt 0.5736 0.3236 0.2500  2 Ni 2.45
Pt 0.8081 0.0000 0.3081  2 Ni 2.63, 5 Pt 2.67-2.89
Pt 0.8081 0.5000 0.8081  2 Ni 2.63, 5 Pt 2.67-2.89

## Properties
total energy: -6.335 eV/atom
polymorph energy (0 for the lowest one): 0 kJ/mol of formula units
theoretical density: 14.9 g/cm³
formation energy: -628 meV per atom

(9)
VASP calculation (PBE) on a relaxed structure of TbNiPt3.

Cell: 4.4299 6.4597 6.1090 Å, 90.00 90.00 90.00°
With the nearest neighbours (Å) after each atom.
Fractional positions:
Tb 0.2500 0.2500 0.2411  6 Pt 2.87-2.95, 2 Ni 2.90
Tb 0.7500 0.7500 0.7589  6 Pt 2.87-2.95, 2 Ni 2.90
Ni 0.2500 0.7500 0.4519  3 Pt 2.42-2.55
Ni 0.7500 0.2500 0.5481  3 Pt 2.42-2.55
Pt 0.2500 0.0493 0.7230  3 Ni 2.55-2.78, 2 Pt 2.59-2.81
Pt 0.2500 0.4507 0.7230  3 Ni 2.55-2.78, 2 Pt 2.59-2.81
Pt 0.2500 0.7500 0.0564  1 Ni 2.42
Pt 0.7500 0.2500 0.9436  1 Ni 2.42
Pt 0.7500 0.5493 0.2770  3 Ni 2.55-2.78, 2 Pt 2.59-2.81
Pt 0.7500 0.9507 0.2770  3 Ni 2.55-2.78, 2 Pt 2.59-2.81

## Properties
total energy: -6.243 eV/atom
polymorph energy (0 for the lowest one): 44 kJ/mol of formula units
theoretical density: 15.3 g/cm³
formation energy: -536 meV per atom

(10)
VASP calculation (PBE) on a relaxed structure of TbNiPt4.

Cell: 5.3121 5.3121 5.3121 Å, 60.00 60.00 60.00°
With the nearest neighbours (Å) after each atom.
Fractional positions:
Tb 0.0000 0.0000 0.0000  12 Pt 3.12, 4 Ni 3.25
Ni 0.7500 0.7500 0.7500  12 Pt 3.11, 4 Tb 3.25
Pt 0.3757 0.3757 0.3757  6 Pt 2.64-2.67
Pt 0.3757 0.3757 0.8730  6 Pt 2.64-2.67
Pt 0.3757 0.8730 0.3757  6 Pt 2.64-2.67
Pt 0.8730 0.3757 0.3757  6 Pt 2.64-2.67

## Properties
total energy: -6.287 eV/atom
polymorph energy (0 for the lowest one): 19 kJ/mol of formula units
theoretical density: 15.6 g/cm³
formation energy: -525 meV per atom